# MnNi4O5

A relaxed MnNi4O5 crystal (PBE+U, the Alexandria database).

Unit cell a=6.770 b=6.770 c=4.285 alpha=90.00 beta=90.00 gamma=90.00
Space group I4/m (No. 87)
Symmetry-distinct sites (fractional):
Mn: 0.000 0.000 0.000 x2
Ni: 0.101 0.698 0.500 x8
O: 0.000 0.000 0.500 x2
O: 0.106 0.690 0.000 x8

Calculated values
Magnetization (μB per atom): 1.3000
Raw total energy (eV for the cell shown): -108.2